Record 1
A plane-wave DFT calculation with PBE-GGA was carried out for an optimized crystal structure of Cr2AgS4.

Geometry as POSCAR:
```
Cr2AgS4
1.0
6.9513 -1.7392 0.0000
6.9513 1.7392 0.0000
-2.5148 0.0000 5.3569
Cr Ag S
2 1 4
direct
0.2422 0.2422 0.2251
0.7578 0.7578 0.7749
0.5000 0.5000 0.5000
0.1525 0.1525 0.4900
0.3616 0.3616 0.0293
0.6384 0.6384 0.9707
0.8475 0.8475 0.5100
```

Output
Uncorrected energy (eV per atom): -6.026
Formation energy (no corrections) (eV per atom): -0.511


Record 2
A plane-wave DFT calculation with PBE-GGA was carried out for an optimized crystal structure of La5ThN4.

Geometry as POSCAR:
```
La5ThN4
1.0
8.1263 -1.8467 0.0000
8.1263 1.8467 0.0000
-1.5720 0.0000 7.4478
La Th N
5 1 4
direct
0.0000 0.0000 0.0000
0.3340 0.3340 0.6528
0.3429 0.3429 0.1964
0.6570 0.6570 0.8036
0.6660 0.6660 0.3472
0.0000 0.0000 0.5000
0.1607 0.1607 0.5767
0.4993 0.4993 0.2672
0.5007 0.5007 0.7328
0.8393 0.8393 0.4233
```

Output
Uncorrected energy (eV per atom): -7.647
Formation energy (no corrections) (eV per atom): -1.111


Record 3
A plane-wave DFT calculation with PBE-GGA was carried out for an optimized crystal structure of HfTe2SeI.

Geometry as POSCAR:
```
HfTe2SeI
1.0
5.3776 0.0000 0.0000
0.0000 5.3776 0.0000
0.0000 0.0000 5.5567
Hf Te Se I
1 2 1 1
direct
0.0000 0.0000 0.0000
0.0000 0.5000 0.5000
0.5000 0.0000 0.5000
0.5000 0.5000 0.5000
0.5000 0.5000 0.0000
```

Output
Uncorrected energy (eV per atom): -3.511
Formation energy (no corrections) (eV per atom): 0.743


Record 4
A plane-wave DFT calculation with PBE-GGA was carried out for an optimized crystal structure of PmYInIr.

Geometry as POSCAR:
```
PmYInIr
1.0
0.0000 3.6402 3.6402
3.6402 0.0000 3.6402
3.6402 3.6402 0.0000
Pm Y In Ir
1 1 1 1
direct
0.0000 0.0000 0.0000
0.5000 0.5000 0.5000
0.7500 0.7500 0.7500
0.2500 0.2500 0.2500
```

Output
Uncorrected energy (eV per atom): -6.197